# NaAlTeN2

A relaxed NaAlTeN2 crystal (PBE, the Alexandria database).

The value obtained for the density of states at the Fermi level is 2.289 states/eV/f.u. For the calculated volume, the calculation gives 117.7 Å³/cell. As for the energy relative to the elements, uncorrected: 1.78 eV per atom. Its theoretical density is 2.90 Mg/m³. Its space group is P4/mmm.

a = 4.387 Å, b = 4.387 Å, c = 6.116 Å
α = 90.00°, β = 90.00°, γ = 90.00°
Fractional positions:
Na 0.000 0.000 0.000
N 0.500 0.000 0.000
N 0.000 0.500 0.000
Al 0.500 0.500 0.500
Te 0.000 0.000 0.500